A plane-wave DFT calculation with PBE was carried out for TbNd4Ho3 after structural relaxation.

Values from the calculation:
Total DFT energy (no corrections) in eV/atom: -4.48
Density of states at the Fermi level in states/eV/cell: 24.308
E_form in eV per formula unit: 1.57
Magnetic moment in μB per formula unit: 0.00

Unit cell a=5.7072 b=26.0937 c=3.6479 alpha=90.00 beta=90.00 gamma=90.00
Last column: nearest neighbours and their distance in Å.
Space group Cmmm (No. 65)
Asymmetric unit:
Tb1 0.0000 0.0000 0.0000 (multiplicity 2)  4 Nd 3.24, 4 Ho 3.39
Nd1 0.0000 0.1028 0.5000 (multiplicity 4)  1 Nd 3.14, 2 Tb 3.24
Nd2 0.0000 0.2230 0.5000 (multiplicity 4)  3 Nd 3.14-3.18
Ho1 0.0000 0.3498 0.0000 (multiplicity 4)  10 Nd 3.61-3.88, 2 Ho 3.65
Ho2 0.0000 0.5000 0.5000 (multiplicity 2)  4 Tb 3.39, 2 Ho 3.65

A plane-wave DFT calculation with PBE was carried out for Sr2GePPd6 after structural relaxation.

Values from the calculation:
Total DFT energy (no corrections) in eV/atom: -5.15
Density of states at the Fermi level in states/eV/cell: 7.972
E_form in eV per formula unit: -6.91
Magnetic moment in μB per formula unit: 0.00

Unit cell a=5.7505 b=8.9185 c=7.9290 alpha=90.00 beta=90.00 gamma=90.00
Last column: nearest neighbours and their distance in Å.
Space group Pmmn (No. 59, origin choice 2)
Asymmetric unit:
Sr1 0.2500 0.0138 0.2238 (multiplicity 4)  9 Pd 3.12-3.39
Ge1 0.2500 0.7500 0.7695 (multiplicity 2)  6 Pd 2.50-2.57
P1 0.2500 0.2500 0.7382 (multiplicity 2)  6 Pd 2.35-2.39
Pd1 0.0030 0.7500 0.0296 (multiplicity 4)  1 P 2.35, 1 Ge 2.50
Pd2 0.0067 0.7500 0.4982 (multiplicity 4)  1 P 2.39, 1 Ge 2.57
Pd3 0.2500 0.0020 0.6240 (multiplicity 4)  1 P 2.39, 1 Ge 2.53